Material: PuGeTe
Method: DFT, PBE
State: relaxed

energy: -7.466 eV per atom

```
data_PuGeTe
_chemical_formula_sum 'Pu4 Ge4 Te4'
_cell_length_a 6.9695
_cell_length_b 6.9695
_cell_length_c 6.9695
_cell_angle_alpha 90.00
_cell_angle_beta 90.00
_cell_angle_gamma 90.00
_symmetry_space_group_name_H-M 'F -4 3 m'
_symmetry_Int_Tables_number 216
_symmetry_space_group_name_Hall 'F -4 2 3'
loop_
_atom_site_label
_atom_site_type_symbol
_atom_site_fract_x
_atom_site_fract_y
_atom_site_fract_z
Pu1 Pu 0.0000 0.0000 0.0000
Ge1 Ge 0.2500 0.2500 0.2500
Te1 Te 0.0000 0.0000 0.5000
```